No. 1
# Nd4Ge2AsCl

Crystalline Nd4Ge2AsCl at its relaxed geometry (PBE-GGA, the Alexandria database).

Cell lengths 6.0125, 6.0125, 7.3639 Å; angles 114.10, 114.10, 89.98 degrees
Element x y z (fractional)
Ge 0.6870 0.1870 0.5000
Nd 0.9373 0.4373 0.0000
Cl 0.4372 0.4372 0.0000
Nd 0.4373 0.9373 0.0000
Nd 0.6926 0.6926 0.5110
Ge 0.1870 0.6870 0.5000
Nd 0.1816 0.1816 0.4890
As 0.9373 0.9373 0.0000

Computed properties:
Final energy   -5.5882 eV per atom

No. 2
# Nd4GeAsCl2

Crystalline Nd4GeAsCl2 at its relaxed geometry (PBE-GGA, the Alexandria database).

Cell lengths 4.2578, 7.3193, 7.3802 Å; angles 70.37, 90.00, 90.00 degrees
Element x y z (fractional)
Ge 0.0000 0.5000 0.5000
Nd 0.5000 0.7274 0.2597
Nd 0.5000 0.2726 0.7403
Cl 0.0000 0.0000 0.0000
Cl 0.5000 0.0000 0.5000
As 0.5000 0.5000 0.0000
Nd 0.0000 0.2740 0.2445
Nd 0.0000 0.7260 0.7555

Computed properties:
Final energy   -5.4022 eV per atom

No. 3
# GeAsP2Cl

Crystalline GeAsP2Cl at its relaxed geometry (PBE-GGA, the Alexandria database).

Cell lengths 4.7957, 4.7957, 4.8656 Å; angles 90.00, 90.00, 90.00 degrees
Element x y z (fractional)
P 0.0000 0.5000 0.0000
As 0.0000 0.0000 0.0000
P 0.5000 0.0000 0.0000
Ge 0.5000 0.5000 0.5000
Cl 0.0000 0.0000 0.5000

Computed properties:
Energy above the lowest structure with this stoichiometry   0.0000 eV/atom

No. 4
# GeAsPCl2

Crystalline GeAsPCl2 at its relaxed geometry (PBE-GGA, the Alexandria database).

Cell lengths 4.8666, 4.8666, 5.0429 Å; angles 90.00, 90.00, 90.00 degrees
Element x y z (fractional)
Cl 0.0000 0.5000 0.0000
As 0.0000 0.0000 0.0000
P 0.0000 0.0000 0.5000
Cl 0.5000 0.0000 0.0000
Ge 0.5000 0.5000 0.5000

Computed properties:
Energy above the lowest structure with this stoichiometry   0.0000 eV/atom

No. 5
# Pm6Ge2As3Cl

Crystalline Pm6Ge2As3Cl at its relaxed geometry (PBE-GGA, the Alexandria database).

Cell lengths 4.2037, 8.5336, 9.4654 Å; angles 102.94, 102.83, 90.00 degrees
Element x y z (fractional)
Cl 0.5000 0.0000 0.0000
Pm 0.0013 0.2647 0.0025
As 0.8365 0.1649 0.6729
Ge 0.1648 0.3295 0.3296
Pm 0.6670 0.5848 0.3339
As 0.1635 0.8351 0.3271
Pm 0.9987 0.7353 0.9975
Pm 0.6700 0.0852 0.3400
Ge 0.8352 0.6705 0.6704
As 0.5000 0.5000 0.0000
Pm 0.3300 0.9148 0.6600
Pm 0.3330 0.4152 0.6661

Computed properties:
Final energy   -5.7853 eV per atom

No. 6
# Pr4GeAsCl2

Crystalline Pr4GeAsCl2 at its relaxed geometry (PBE-GGA, the Alexandria database).

Cell lengths 4.2891, 7.3940, 7.4315 Å; angles 70.44, 90.00, 90.00 degrees
Element x y z (fractional)
Cl 0.0000 0.0000 0.0000
Pr 0.0000 0.2739 0.2443
Pr 0.5000 0.2724 0.7405
As 0.5000 0.5000 0.0000
Pr 0.0000 0.7261 0.7557
Pr 0.5000 0.7276 0.2595
Ge 0.0000 0.5000 0.5000
Cl 0.5000 0.0000 0.5000

Computed properties:
Final energy   -5.4166 eV per atom

No. 7
# Pr6GeAs2Cl3

Crystalline Pr6GeAs2Cl3 at its relaxed geometry (PBE-GGA, the Alexandria database).

Cell lengths 4.2788, 8.5405, 9.5428 Å; angles 102.38, 102.96, 90.00 degrees
Element x y z (fractional)
Pr 0.6607 0.0946 0.3214
Pr 0.9954 0.7628 0.9907
Pr 0.0046 0.2372 0.0093
Pr 0.3283 0.4311 0.6566
As 0.1670 0.3326 0.3339
Cl 0.8342 0.1680 0.6684
Cl 0.1658 0.8320 0.3316
Ge 0.5000 0.0000 0.0000
Cl 0.5000 0.5000 0.0000
Pr 0.6717 0.5689 0.3434
Pr 0.3393 0.9054 0.6786
As 0.8330 0.6674 0.6661

Computed properties:
Final energy   -5.4624 eV per atom

No. 8
# Pr4GeAs2Cl

Crystalline Pr4GeAs2Cl at its relaxed geometry (PBE-GGA, the Alexandria database).

Cell lengths 4.2996, 7.4156, 7.4148 Å; angles 70.84, 90.00, 90.00 degrees
Element x y z (fractional)
Pr 0.5000 0.2473 0.7457
Ge 0.0000 0.5000 0.5000
Cl 0.5000 0.5000 0.0000
As 0.5000 0.0000 0.5000
As 0.0000 0.0000 0.0000
Pr 0.5000 0.7527 0.2543
Pr 0.0000 0.7618 0.7358
Pr 0.0000 0.2382 0.2641

Computed properties:
Final energy   -5.7651 eV per atom

No. 9
# Pr6Ge2As3Cl

Crystalline Pr6Ge2As3Cl at its relaxed geometry (PBE-GGA, the Alexandria database).

Cell lengths 4.2751, 8.6699, 9.6218 Å; angles 102.94, 102.84, 90.00 degrees
Element x y z (fractional)
Ge 0.1647 0.3295 0.3294
As 0.8361 0.1649 0.6723
Pr 0.6698 0.0849 0.3396
Pr 0.3302 0.9151 0.6604
As 0.1639 0.8351 0.3277
Pr 0.3331 0.4150 0.6662
Ge 0.8353 0.6705 0.6706
Pr 0.6669 0.5850 0.3338
Pr 0.9989 0.7357 0.9979
Pr 0.0011 0.2643 0.0021
As 0.5000 0.5000 0.0000
Cl 0.5000 0.0000 0.0000

Computed properties:
Final energy   -5.7843 eV per atom

No. 10
# Pr6Ge2AsCl3

Crystalline Pr6Ge2AsCl3 at its relaxed geometry (PBE-GGA, the Alexandria database).

Cell lengths 4.2993, 8.5318, 9.5635 Å; angles 102.28, 102.99, 90.00 degrees
Element x y z (fractional)
Cl 0.5000 0.5000 0.0000
Pr 0.6715 0.5724 0.3429
Pr 0.3285 0.4276 0.6571
Cl 0.1670 0.8338 0.3340
Pr 0.6629 0.0966 0.3257
Pr 0.9939 0.7610 0.9879
Ge 0.8335 0.6670 0.6670
Pr 0.0061 0.2390 0.0121
As 0.5000 0.0000 0.0000
Ge 0.1665 0.3330 0.3330
Pr 0.3371 0.9034 0.6743
Cl 0.8330 0.1662 0.6660

Computed properties:
Final energy   -5.3684 eV per atom

No. 11
# Pr3GeAsCl

Crystalline Pr3GeAsCl at its relaxed geometry (PBE-GGA, the Alexandria database).

Cell lengths 4.3449, 8.5556, 9.6613 Å; angles 103.97, 90.00, 90.00 degrees
Element x y z (fractional)
Pr 0.2500 0.5813 0.8453
Cl 0.7500 0.8966 0.4189
Pr 0.7500 0.4187 0.1547
Ge 0.7500 0.8152 0.7832
Pr 0.2500 0.7278 0.5017
Pr 0.7500 0.2722 0.4983
Pr 0.2500 0.0941 0.8670
Cl 0.2500 0.1034 0.5811
As 0.7500 0.3373 0.8405
Pr 0.7500 0.9059 0.1330
As 0.2500 0.6627 0.1595
Ge 0.2500 0.1848 0.2168

Computed properties:
Final energy   -5.3783 eV per atom

No. 12
# GeAsS2Cl

Crystalline GeAsS2Cl at its relaxed geometry (PBE-GGA, the Alexandria database).

Cell lengths 4.8608, 4.8608, 4.7755 Å; angles 90.00, 90.00, 90.00 degrees
Element x y z (fractional)
Ge 0.5000 0.5000 0.5000
As 0.0000 0.0000 0.0000
Cl 0.0000 0.0000 0.5000
S 0.5000 0.0000 0.0000
S 0.0000 0.5000 0.0000

Computed properties:
Energy above the lowest structure with this stoichiometry   0.0000 eV/atom